# 1
Entry from Alexandria: a relaxed structure of NaLa2O2 (GGA-PBEsol).

Lattice parameters (Å, degrees): 4.283 4.283 7.350 106.94 106.94 90.00
Atoms (fractional coordinates):
Na (0.000, 0.000, 0.000)
O (0.250, 0.750, 0.500)
O (0.750, 0.250, 0.500)
La (0.328, 0.328, 0.656)
La (0.672, 0.672, 0.344)

# 2
Entry from Alexandria: a relaxed structure of NaLaO2 (GGA-PBEsol).

The value obtained for the relative energy among the computed polymorphs is 42.4 meV per atom.

Lattice parameters (Å, degrees): 3.642 3.642 5.908 72.05 72.05 60.00
Atoms (fractional coordinates):
Na (0.000, 0.000, 0.000)
O (0.239, 0.239, 0.283)
O (0.761, 0.761, 0.717)
La (0.500, 0.500, 0.500)

# 3
Entry from Alexandria: a relaxed structure of NaLa2OsO6 (GGA-PBEsol).

Lattice parameters (Å, degrees): 5.571 5.963 8.000 90.00 90.78 90.00
Atoms (fractional coordinates):
Na (0.500, 0.500, 0.500)
Na (0.000, 0.000, 0.000)
La (0.481, 0.932, 0.253)
La (0.019, 0.432, 0.247)
La (0.981, 0.568, 0.753)
La (0.519, 0.068, 0.747)
Os (0.500, 0.500, 0.000)
Os (0.000, 0.000, 0.500)
O (0.833, 0.279, 0.566)
O (0.667, 0.779, 0.934)
O (0.167, 0.721, 0.434)
O (0.333, 0.221, 0.066)
O (0.113, 0.953, 0.732)
O (0.387, 0.453, 0.768)
O (0.887, 0.047, 0.268)
O (0.613, 0.547, 0.232)
O (0.209, 0.675, 0.050)
O (0.291, 0.175, 0.450)
O (0.791, 0.325, 0.950)
O (0.709, 0.825, 0.550)

# 4
Entry from Alexandria: a relaxed structure of NaLa2RuO6 (GGA-PBEsol).

Lattice parameters (Å, degrees): 5.550 5.932 7.959 90.00 90.64 90.00
Atoms (fractional coordinates):
Na (0.000, 0.000, 0.000)
Na (0.500, 0.500, 0.500)
La (0.982, 0.568, 0.753)
La (0.518, 0.068, 0.747)
La (0.018, 0.432, 0.247)
La (0.482, 0.932, 0.253)
Ru (0.500, 0.500, 0.000)
Ru (0.000, 0.000, 0.500)
O (0.833, 0.278, 0.564)
O (0.667, 0.778, 0.936)
O (0.167, 0.722, 0.436)
O (0.333, 0.222, 0.064)
O (0.110, 0.956, 0.731)
O (0.390, 0.456, 0.769)
O (0.890, 0.044, 0.269)
O (0.610, 0.544, 0.231)
O (0.211, 0.674, 0.049)
O (0.289, 0.174, 0.451)
O (0.789, 0.326, 0.951)
O (0.711, 0.826, 0.549)

# 5
Entry from Alexandria: a relaxed structure of NaLaSe2O6 (GGA-PBEsol).

Lattice parameters (Å, degrees): 6.646 6.737 13.144 90.00 101.04 90.00
Atoms (fractional coordinates):
Na (0.804, 0.830, 0.882)
Na (0.304, 0.670, 0.382)
Na (0.196, 0.170, 0.118)
Na (0.696, 0.330, 0.618)
La (0.342, 0.119, 0.836)
La (0.158, 0.619, 0.664)
La (0.842, 0.381, 0.336)
La (0.658, 0.881, 0.164)
Se (0.394, 0.161, 0.361)
Se (0.191, 0.146, 0.567)
Se (0.106, 0.661, 0.139)
Se (0.606, 0.839, 0.639)
Se (0.309, 0.646, 0.933)
Se (0.809, 0.854, 0.433)
Se (0.894, 0.339, 0.861)
Se (0.691, 0.354, 0.067)
O (0.143, 0.780, 0.839)
O (0.497, 0.821, 0.966)
O (0.293, 0.838, 0.170)
O (0.908, 0.018, 0.356)
O (0.010, 0.329, 0.755)
O (0.003, 0.321, 0.534)
O (0.092, 0.982, 0.644)
O (0.579, 0.288, 0.445)
O (0.997, 0.679, 0.466)
O (0.207, 0.338, 0.330)
O (0.793, 0.662, 0.670)
O (0.990, 0.671, 0.245)
O (0.921, 0.788, 0.055)
O (0.707, 0.162, 0.830)
O (0.421, 0.712, 0.555)
O (0.857, 0.220, 0.161)
O (0.510, 0.171, 0.255)
O (0.357, 0.280, 0.661)
O (0.079, 0.212, 0.945)
O (0.643, 0.720, 0.339)
O (0.592, 0.518, 0.144)
O (0.490, 0.829, 0.745)
O (0.503, 0.179, 0.034)
O (0.408, 0.482, 0.856)

# 6
Entry from Alexandria: a relaxed structure of Na2SrLa2Ti5O15 (GGA-PBEsol).

Lattice parameters (Å, degrees): 5.469 5.471 19.640 98.01 97.93 90.00
Atoms (fractional coordinates):
Na (0.429, 0.054, 0.799)
Na (0.810, 0.450, 0.599)
Na (0.190, 0.851, 0.401)
Na (0.571, 0.254, 0.201)
Sr (0.000, 0.649, 0.000)
Sr (0.500, 0.146, 0.000)
La (0.693, 0.352, 0.401)
La (0.069, 0.748, 0.202)
La (0.931, 0.547, 0.798)
La (0.307, 0.951, 0.599)
Ti (0.133, 0.298, 0.301)
Ti (0.536, 0.703, 0.101)
Ti (0.960, 0.097, 0.898)
Ti (0.369, 0.501, 0.699)
Ti (0.750, 0.901, 0.501)
Ti (0.867, 0.998, 0.699)
Ti (0.250, 0.401, 0.499)
Ti (0.631, 0.802, 0.301)
Ti (0.040, 0.199, 0.102)
Ti (0.464, 0.602, 0.899)
O (0.183, 0.831, 0.907)
O (0.500, 0.604, 0.000)
O (0.638, 0.289, 0.711)
O (0.692, 0.868, 0.909)
O (0.890, 0.990, 0.799)
O (0.964, 0.176, 0.488)
O (0.036, 0.688, 0.512)
O (0.134, 0.228, 0.711)
O (0.203, 0.407, 0.400)
O (0.298, 0.391, 0.600)
O (0.362, 0.578, 0.289)
O (0.468, 0.120, 0.489)
O (0.437, 0.088, 0.313)
O (0.532, 0.631, 0.511)
O (0.609, 0.804, 0.201)
O (0.702, 0.792, 0.400)
O (0.817, 0.924, 0.093)
O (0.866, 0.517, 0.289)
O (0.791, 0.441, 0.112)
O (0.933, 0.030, 0.312)
O (0.000, 0.190, 0.000)
O (0.110, 0.191, 0.201)
O (0.209, 0.329, 0.888)
O (0.308, 0.958, 0.091)
O (0.278, 0.481, 0.112)
O (0.391, 0.603, 0.799)
O (0.563, 0.776, 0.687)
O (0.722, 0.369, 0.888)
O (0.797, 0.006, 0.600)
O (0.067, 0.718, 0.688)

# 7
Entry from Alexandria: a relaxed structure of NaSr8LaTi10O30 (GGA-PBEsol).

Lattice parameters (Å, degrees): 5.504 5.504 19.458 90.00 90.00 90.00
Atoms (fractional coordinates):
Na (0.000, 0.000, 0.000)
Sr (0.000, 0.000, 0.199)
Sr (0.500, 0.500, 0.200)
Sr (0.500, 0.500, 0.400)
Sr (0.500, 0.500, 0.600)
Sr (0.500, 0.500, 0.800)
Sr (0.000, 0.000, 0.400)
Sr (0.000, 0.000, 0.600)
Sr (0.000, 0.000, 0.801)
La (0.500, 0.500, 0.000)
Ti (0.000, 0.500, 0.500)
Ti (0.000, 0.500, 0.300)
Ti (0.000, 0.500, 0.901)
Ti (0.000, 0.500, 0.700)
Ti (0.000, 0.500, 0.099)
Ti (0.500, 0.000, 0.300)
Ti (0.500, 0.000, 0.500)
Ti (0.500, 0.000, 0.901)
Ti (0.500, 0.000, 0.099)
Ti (0.500, 0.000, 0.700)
O (0.000, 0.500, 0.400)
O (0.000, 0.500, 0.801)
O (0.250, 0.750, 0.299)
O (0.250, 0.750, 0.500)
O (0.250, 0.750, 0.701)
O (0.256, 0.744, 0.902)
O (0.256, 0.744, 0.098)
O (0.500, 0.000, 0.400)
O (0.250, 0.250, 0.299)
O (0.500, 0.000, 0.199)
O (0.250, 0.250, 0.500)
O (0.250, 0.250, 0.701)
O (0.256, 0.256, 0.098)
O (0.500, 0.000, 0.801)
O (0.500, 0.000, 0.000)
O (0.256, 0.256, 0.902)
O (0.500, 0.000, 0.600)
O (0.750, 0.250, 0.299)
O (0.750, 0.250, 0.500)
O (0.750, 0.250, 0.701)
O (0.744, 0.256, 0.902)
O (0.744, 0.256, 0.098)
O (0.750, 0.750, 0.299)
O (0.750, 0.750, 0.500)
O (0.750, 0.750, 0.701)
O (0.744, 0.744, 0.902)
O (0.000, 0.500, 0.199)
O (0.000, 0.500, 0.600)
O (0.744, 0.744, 0.098)
O (0.000, 0.500, 0.000)

# 8
Entry from Alexandria: a relaxed structure of NaLaTa2O7 (GGA-PBEsol).

Lattice parameters (Å, degrees): 3.883 3.883 11.030 100.14 100.14 90.00
Atoms (fractional coordinates):
Na (0.750, 0.250, 0.500)
La (0.000, 0.000, 0.000)
Ta (0.395, 0.395, 0.790)
Ta (0.605, 0.605, 0.210)
O (0.311, 0.311, 0.622)
O (0.689, 0.689, 0.378)
O (0.586, 0.086, 0.171)
O (0.084, 0.584, 0.169)
O (0.416, 0.916, 0.831)
O (0.914, 0.414, 0.829)
O (0.500, 0.500, 0.000)

In eV/atom, the final energy values for the records above are, in order, -6.777, -6.960, -7.981, -7.784, -6.373, -8.520, -8.413, -9.170.
In eV per atom, the ΔE_f (raw) values for the records above are, in order, -2.2587, -2.6491, -2.4004, -2.4082, -1.7789, -3.0922, -3.1691, -2.9344.